<A>
DFT (GGA-PBE) results for a relaxed TbNdSmAg crystal.

Cell: 3.6687 3.6687 8.8236 Å, 90.00 90.00 90.00°
Fractional positions:
Tb  0.0000  0.0000  0.0000
Nd  0.5000  0.5000  0.7116
Sm  0.0000  0.0000  0.4189
Ag  0.5000  0.5000  0.2005

The crystal system is tetragonal. Its space group is P4mm (99).

=====

<B>
DFT (GGA-PBE) results for a relaxed TbNdSmAg crystal.

Cell: 5.4784 5.4784 5.4784 Å, 60.00 60.00 60.00°
Fractional positions:
Tb  0.0000  0.0000  0.0000
Nd  0.2500  0.2500  0.2500
Sm  0.7500  0.7500  0.7500
Ag  0.5000  0.5000  0.5000

The crystal system is cubic. Its space group is F-43m (216).

=====

The most stable arrangement is <A>, and the next structure is 18.7 kJ/mol of atoms less stable.

=====

<A>
DFT (GGA-PBE) results for a relaxed NdSmZnAg crystal.

Cell: 5.2402 5.2402 5.2402 Å, 60.00 60.00 60.00°
Fractional positions:
Nd  0.0000  0.0000  0.0000
Sm  0.5000  0.5000  0.5000
Zn  0.7500  0.7500  0.7500
Ag  0.2500  0.2500  0.2500

The crystal system is cubic. Its space group is F-43m (216).

=====

<B>
DFT (GGA-PBE) results for a relaxed NdSmZnAg crystal.

Cell: 3.7180 3.7180 7.3043 Å, 90.00 90.00 90.00°
Fractional positions:
Nd  0.0000  0.0000  0.0000
Sm  0.0000  0.0000  0.5162
Zn  0.5000  0.5000  0.7531
Ag  0.5000  0.5000  0.2659

The crystal system is tetragonal. Its space group is P4mm (99).

=====

The most stable arrangement is <B>, and the next structure is 1.7 kJ/mol of atoms less stable.